[1]
First-principles (GGA+U) data for an optimized crystal structure of MnFeRh2O6, as listed in Alexandria.

Results
E_tot: -6.81 eV per atom

Unit cell a=5.152 b=5.152 c=5.537 alpha=62.54 beta=62.59 gamma=60.39
Space group P1 (No. 1)
Inequivalent atoms, fractional coordinates:
Mn1 0.000 0.000 0.000 x1
Fe1 0.507 0.505 0.483 x1
Rh1 0.307 0.308 0.078 x1
Rh2 0.805 0.804 0.585 x1
O1 0.092 0.715 0.797 x1
O2 0.203 0.608 0.284 x1
O3 0.396 0.093 0.795 x1
O4 0.608 0.908 0.281 x1
O5 0.716 0.394 0.796 x1
O6 0.908 0.202 0.283 x1


[2]
First-principles (GGA+U) data for an optimized crystal structure of MnFeRu2O, as listed in Alexandria.

Results
DOS(E_F): 10.43 states/eV/f.u.
E_tot: -4.45 eV per atom

Unit cell a=4.385 b=4.385 c=4.151 alpha=90.00 beta=90.00 gamma=90.00
Space group P4/mmm (No. 123)
Inequivalent atoms, fractional coordinates:
Mn1 0.000 0.000 0.000 x1
Fe1 0.000 0.000 0.500 x1
Ru1 0.000 0.500 0.500 x2
O1 0.500 0.500 0.000 x1


[3]
First-principles (GGA+U) data for an optimized crystal structure of Mn3Fe3Sb2O16, as listed in Alexandria.

Results
DOS(E_F): 4.81 states/eV/f.u.
E_tot: -6.48 eV per atom

Unit cell a=10.193 b=5.871 c=9.315 alpha=90.00 beta=91.08 gamma=90.00
Space group Cm (No. 8)
Inequivalent atoms, fractional coordinates:
Mn1 0.000 0.000 0.000 x2
Mn2 0.415 0.248 0.500 x4
Fe1 0.164 0.500 0.497 x2
Fe2 0.249 0.248 0.997 x4
Sb1 0.165 0.000 0.277 x2
Sb2 0.498 0.000 0.778 x2
O1 0.064 0.273 0.629 x4
O2 0.085 0.219 0.127 x4
O3 0.163 0.000 0.899 x2
O4 0.166 0.500 0.885 x2
O5 0.250 0.250 0.386 x4
O6 0.311 0.000 0.131 x2
O7 0.332 0.500 0.594 x2
O8 0.334 0.500 0.093 x2
O9 0.348 0.000 0.620 x2
O10 0.415 0.252 0.887 x4
O11 0.496 0.000 0.398 x2
O12 0.496 0.500 0.391 x2